1.
The following is a PBEsol calculation of an optimized crystal structure of MnTl2Pb, from the Alexandria database.

The offset from the most stable computed form is 58 meV/atom. The calculated formation energy comes out at 1.50 eV/f.u.

It has space group C2/m (No. 12), with a = 12.136 Å, b = 3.334 Å, c = 5.281 Å, α = 90.00°, β = 115.32° and γ = 90.00°. Symmetry generates all atoms from Mn at (0.000, 0.000, 0.000), Tl at (0.217, 0.500, 0.217) and Pb at (0.000, 0.500, 0.500).

2.
The following is a PBEsol calculation of an optimized crystal structure of MnPb3W, from the Alexandria database.

The calculated formation energy comes out at 5.84 eV/f.u.

It has space group Pm-3m (No. 221), with a = 5.337 Å, b = 5.337 Å, c = 5.337 Å, α = 90.00°, β = 90.00° and γ = 90.00°. Symmetry generates all atoms from Mn at (0.000, 0.000, 0.000), Pb at (0.000, 0.500, 0.500) and W at (0.500, 0.500, 0.500).

3.
The following is a PBEsol calculation of an optimized crystal structure of Mn2PbW, from the Alexandria database.

The calculated formation energy comes out at 2.45 eV/f.u.

It has space group P4mm (No. 99), with a = 3.239 Å, b = 3.239 Å, c = 5.965 Å, α = 90.00°, β = 90.00° and γ = 90.00°. Symmetry generates all atoms from Mn at (0.000, 0.000, 0.000), Mn at (0.500, 0.500, 0.207), Pb at (0.000, 0.000, 0.479) and W at (0.500, 0.500, 0.805).

4.
The following is a PBEsol calculation of an optimized crystal structure of Mn2PbW, from the Alexandria database.

The calculated formation energy comes out at 2.53 eV/f.u.

It has space group P4/mmm (No. 123), with a = 4.286 Å, b = 4.286 Å, c = 3.117 Å, α = 90.00°, β = 90.00° and γ = 90.00°. Symmetry generates all atoms from Mn at (0.000, 0.500, 0.000), Pb at (0.000, 0.000, 0.500) and W at (0.500, 0.500, 0.500).